# 1
DFT (PBE) results for SiSn2Pt2 after structural relaxation.

## Properties
**N(E_F)**: 0.351 states/eV/atom
**Total moment**: 0.00 μB per cell
**Formation energy from raw total energies**: -143.1 meV/atom
**Calculated volume**: 20.09 Å³/atom
**Polymorph energy (0 for the lowest one)**: 0.000 eV/atom

Cell: 6.5433 6.5433 4.6913 Å, 90.00 90.00 90.00°
With the nearest neighbours (Å) after each atom.
Space group P4/mbm (No. 127)
Symmetry-distinct sites (fractional):
Si 0.0000 0.0000 0.0000 (multiplicity 2)  4 Pt 2.47
Sn 0.1687 0.3313 0.5000 (multiplicity 4)  6 Pt 2.84-3.17, 1 Sn 3.12
Pt 0.1576 0.6576 0.0000 (multiplicity 4)  2 Si 2.47



# 2
DFT (PBE) results for Si2SnPt after structural relaxation.

## Properties
**N(E_F)**: 0.601 states/eV/atom
**Total moment**: 0.00 μB per cell
**Formation energy from raw total energies**: -34.1 meV/atom
**Calculated volume**: 23.76 Å³/atom

Cell: 5.6510 5.6510 11.9021 Å, 90.00 90.00 90.00°
With the nearest neighbours (Å) after each atom.
Space group I-42d (No. 122)
Symmetry-distinct sites (fractional):
Si 0.1985 0.2500 0.1250 (multiplicity 8)  2 Pt 2.34
Sn 0.0000 0.0000 0.5000 (multiplicity 4)  4 Si 2.67
Pt 0.0000 0.0000 0.0000 (multiplicity 4)  4 Si 2.34



# 3
DFT (PBE) results for SiSnPt after structural relaxation.

## Properties
**N(E_F)**: 0.457 states/eV/atom
**Total moment**: 0.00 μB per cell
**Formation energy from raw total energies**: -207.9 meV/atom
**Calculated volume**: 20.34 Å³/atom

Cell: 4.1082 4.1082 4.1754 Å, 90.00 90.00 120.00°
With the nearest neighbours (Å) after each atom.
Space group P3m1 (No. 156)
Symmetry-distinct sites (fractional):
Si 0.0000 0.0000 0.0000 (multiplicity 1)  3 Pt 2.40
Sn 0.3333 0.6667 0.5053 (multiplicity 1)  3 Pt 2.96, 6 Si 3.15-3.17
Pt 0.6667 0.3333 0.0801 (multiplicity 1)  3 Si 2.40



# 4
DFT (PBE) results for SiSnPt2 after structural relaxation.

## Properties
**N(E_F)**: 0.304 states/eV/atom
**Total moment**: 0.00 μB per cell
**Formation energy from raw total energies**: -318.4 meV/atom
**Calculated volume**: 23.26 Å³/atom

Cell: 5.6551 5.6551 11.6391 Å, 90.00 90.00 90.00°
With the nearest neighbours (Å) after each atom.
Space group I-42d (No. 122)
Symmetry-distinct sites (fractional):
Si 0.0000 0.0000 0.0000 (multiplicity 4)  4 Pt 2.33
Sn 0.0000 0.0000 0.5000 (multiplicity 4)  4 Pt 2.64
Pt 0.2016 0.2500 0.1250 (multiplicity 8)  2 Si 2.33



# 5
DFT (PBE) results for SiSnPt after structural relaxation.

## Properties
**N(E_F)**: 0.501 states/eV/atom
**Total moment**: 0.00 μB per cell
**Formation energy from raw total energies**: -306.2 meV/atom
**Calculated volume**: 20.05 Å³/atom

Cell: 6.2192 6.2192 6.2192 Å, 90.00 90.00 90.00°
With the nearest neighbours (Å) after each atom.
Space group F-43m (No. 216)
Symmetry-distinct sites (fractional):
Si 0.0000 0.0000 0.0000 (multiplicity 4)  4 Pt 2.69
Sn 0.0000 0.0000 0.5000 (multiplicity 4)  4 Pt 2.69
Pt 0.2500 0.2500 0.7500 (multiplicity 4)  4 Sn 2.69, 4 Si 2.69



# 6
DFT (PBE) results for SiSn2Pt2 after structural relaxation.

## Properties
**N(E_F)**: 0.577 states/eV/atom
**Total moment**: 0.00 μB per cell
**Formation energy from raw total energies**: 72.8 meV/atom
**Calculated volume**: 19.92 Å³/atom
**Polymorph energy (0 for the lowest one)**: 0.216 eV/atom

Cell: 8.0613 8.0613 3.0653 Å, 90.00 90.00 90.00°
With the nearest neighbours (Å) after each atom.
Space group P4/mbm (No. 127)
Symmetry-distinct sites (fractional):
Si 0.0000 0.0000 0.0000 (multiplicity 2)  4 Sn 3.01, 2 Si 3.07
Sn 0.1664 0.3336 0.0000 (multiplicity 4)  6 Pt 2.81-2.84, 2 Si 3.01, 2 Sn 3.07
Pt 0.1274 0.6274 0.5000 (multiplicity 4)  6 Sn 2.81-2.84, 3 Pt 2.91-3.07



# 7
DFT (PBE) results for SiSnPt2 after structural relaxation.

## Properties
**N(E_F)**: 0.387 states/eV/atom
**Total moment**: 0.00 μB per cell
**Formation energy from raw total energies**: -141.2 meV/atom
**Calculated volume**: 17.05 Å³/atom

Cell: 6.4851 6.4851 6.4851 Å, 90.00 90.00 90.00°
With the nearest neighbours (Å) after each atom.
Space group Fm-3m (No. 225)
Symmetry-distinct sites (fractional):
Si 0.0000 0.0000 0.0000 (multiplicity 4)  8 Pt 2.81
Sn 0.0000 0.0000 0.5000 (multiplicity 4)  8 Pt 2.81
Pt 0.2500 0.2500 0.2500 (multiplicity 8)  4 Sn 2.81, 4 Si 2.81



# 8
DFT (PBE) results for SiSnPt2 after structural relaxation.

## Properties
**N(E_F)**: 0.329 states/eV/atom
**Total moment**: 0.00 μB per cell
**Formation energy from raw total energies**: -616.3 meV/atom
**Calculated volume**: 17.90 Å³/atom

Cell: 5.7275 15.0260 6.6542 Å, 90.00 90.00 90.00°
With the nearest neighbours (Å) after each atom.
Space group Pbca (No. 61)
Symmetry-distinct sites (fractional):
Si 0.1868 0.0565 0.0541 (multiplicity 8)  6 Pt 2.42-2.54
Sn 0.1923 0.6898 0.5822 (multiplicity 8)  5 Pt 2.69-2.86
Pt 0.0098 0.0470 0.7056 (multiplicity 8)  4 Si 2.50-2.54
Pt 0.0177 0.6519 0.1993 (multiplicity 8)  2 Si 2.42-2.47, 2 Sn 2.69-2.70



# 9
DFT (PBE) results for SrSiSn2Pt5 after structural relaxation.

## Properties
**N(E_F)**: 0.484 states/eV/atom
**Total moment**: 0.00 μB per cell
**Formation energy from raw total energies**: -536.5 meV/atom
**Calculated volume**: 20.96 Å³/atom

Cell: 4.6983 5.6826 14.1324 Å, 90.00 90.00 90.00°
With the nearest neighbours (Å) after each atom.
Space group Immm (No. 71)
Symmetry-distinct sites (fractional):
Sr 0.0000 0.0000 0.0000 (multiplicity 2)  2 Pt 2.84
Si 0.0000 0.0000 0.5000 (multiplicity 2)  6 Pt 2.35-2.44
Sn 0.0000 0.5000 0.1968 (multiplicity 4)  7 Pt 2.71-2.87
Pt 0.0000 0.2520 0.3606 (multiplicity 8)  1 Si 2.44, 1 Sn 2.71
Pt 0.0000 0.5000 0.0000 (multiplicity 2)  2 Si 2.35



# 10
DFT (PBE) results for Sr2SiSnPt6 after structural relaxation.

## Properties
**N(E_F)**: 0.217 states/eV/atom
**Total moment**: 0.00 μB per cell
**Formation energy from raw total energies**: -732.4 meV/atom
**Calculated volume**: 22.06 Å³/atom

Cell: 5.6528 6.6608 7.0816 Å, 75.54 66.56 65.00°
With the nearest neighbours (Å) after each atom.
Space group P-1 (No. 2)
Symmetry-distinct sites (fractional):
Sr 0.2464 0.2089 0.2981 (multiplicity 2)  9 Pt 3.18-3.54
Si 0.0000 0.0000 0.0000 (multiplicity 1)  6 Pt 2.41-2.45
Sn 0.5000 0.5000 0.5000 (multiplicity 1)  6 Pt 2.67-2.68
Pt 0.2277 0.2554 0.7899 (multiplicity 2)  1 Si 2.41, 1 Sn 2.68
Pt 0.2456 0.6269 0.8817 (multiplicity 2)  1 Si 2.45, 1 Sn 2.67, 2 Pt 2.71
Pt 0.2745 0.7447 0.2093 (multiplicity 2)  1 Si 2.42, 1 Sn 2.68



# 11
DFT (PBE) results for Sr2SiSn3Pt4 after structural relaxation.

## Properties
**N(E_F)**: 0.473 states/eV/atom
**Total moment**: 0.00 μB per cell
**Formation energy from raw total energies**: -770.0 meV/atom
**Calculated volume**: 22.54 Å³/atom

Cell: 4.5874 4.5874 10.7119 Å, 90.00 90.00 90.00°
With the nearest neighbours (Å) after each atom.
Space group P-4m2 (No. 115)
Symmetry-distinct sites (fractional):
Sr 0.0000 0.5000 0.2448 (multiplicity 2)  2 Si 3.48, 6 Sn 3.48-3.50, 9 Pt 3.52-3.87
Si 0.5000 0.5000 0.0000 (multiplicity 1)  4 Pt 2.61
Sn 0.0000 0.0000 0.0000 (multiplicity 1)  4 Pt 2.61
Sn 0.0000 0.5000 0.6313 (multiplicity 2)  5 Pt 2.69-2.70
Pt 0.0000 0.0000 0.5000 (multiplicity 1)  4 Sn 2.69
Pt 0.0000 0.5000 0.8832 (multiplicity 2)  2 Si 2.61, 3 Sn 2.61-2.70
Pt 0.5000 0.5000 0.5000 (multiplicity 1)  4 Sn 2.69



# 12
DFT (PBE) results for Sr2Si3SnPt4 after structural relaxation.

## Properties
**N(E_F)**: 0.405 states/eV/atom
**Total moment**: 0.00 μB per cell
**Formation energy from raw total energies**: -860.7 meV/atom
**Calculated volume**: 19.82 Å³/atom

Cell: 4.3918 4.3918 10.2744 Å, 90.00 90.00 90.00°
With the nearest neighbours (Å) after each atom.
Space group P-4m2 (No. 115)
Symmetry-distinct sites (fractional):
Sr 0.0000 0.5000 0.2447 (multiplicity 2)  8 Pt 3.31-3.34, 6 Si 3.37-3.42, 2 Sn 3.42
Si 0.0000 0.5000 0.8824 (multiplicity 2)  5 Pt 2.44-2.51
Si 0.5000 0.5000 0.5000 (multiplicity 1)  4 Pt 2.65
Sn 0.0000 0.0000 0.5000 (multiplicity 1)  4 Pt 2.65
Pt 0.0000 0.0000 0.0000 (multiplicity 1)  4 Si 2.51
Pt 0.0000 0.5000 0.6451 (multiplicity 2)  3 Si 2.44-2.65, 2 Sn 2.65
Pt 0.5000 0.5000 0.0000 (multiplicity 1)  4 Si 2.51